(1)
First-principles (PBE) data for a geometry-optimized Mg5H3Ir2 structure, as listed in Alexandria.

Unit cell a=5.437 b=5.436 c=4.784 alpha=90.61 beta=89.39 gamma=82.71
Atoms (fractional coordinates):
Mg (0.842, 0.011, 0.860)
Mg (0.468, 0.637, 0.860)
Mg (0.777, 0.328, 0.364)
Mg (0.151, 0.702, 0.364)
Mg (0.310, 0.169, 0.112)
H (0.810, 0.669, 0.612)
H (0.154, 0.324, 0.660)
H (0.465, 0.014, 0.565)
Ir (0.978, 0.500, 0.885)
Ir (0.641, 0.838, 0.339)

Summary:
Excess energy over the best structure of this formula in the dataset = 0.0000 eV per atom
Total energy = -3.922 eV/atom
Magnetic moment = 0.000 Bohr magnetons per cell

(2)
First-principles (PBE) data for a geometry-optimized HfNbSO2 structure, as listed in Alexandria.

Unit cell a=3.837 b=6.321 c=3.837 alpha=90.00 beta=90.00 gamma=90.00
Atoms (fractional coordinates):
Nb (0.000, 0.000, 0.000)
Hf (0.000, 0.500, 0.000)
S (0.500, 0.500, 0.500)
O (0.000, 0.000, 0.500)
O (0.500, 0.000, 0.000)

Summary:
Total energy = -8.211 eV/atom
Formation energy (no corrections) = -1.40 eV per atom
Magnetic moment = 0.000 Bohr magnetons per cell

(3)
First-principles (PBE) data for a geometry-optimized Ac2Pd4Pt structure, as listed in Alexandria.

Unit cell a=5.014 b=5.014 c=8.138 alpha=107.94 beta=107.94 gamma=90.00
Atoms (fractional coordinates):
Ac (0.635, 0.635, 0.270)
Ac (0.365, 0.365, 0.730)
Pd (0.823, 0.823, 0.645)
Pd (0.177, 0.177, 0.355)
Pd (0.000, 0.500, 0.000)
Pd (0.500, 0.000, 0.000)
Pt (0.000, 0.000, 0.000)

Summary:
Total energy = -5.295 eV/atom
ΔH_f (0 K) = -0.291 eV per atom
Magnetic moment = 0.000 Bohr magnetons per cell